Record 1
Compound: CdTc
Source: Alexandria via LeMat-Bulk
Functional: PBE-GGA
Structure: relaxed

## Properties
polymorph energy (0 for the lowest one)	1294	meV per atom
formation enthalpy at 0 K	1405.8	meV/atom
crystal system	cubic

```
CdTc
1.0
3.882 0.000 0.000
1.941 3.362 0.000
1.941 1.121 3.170
Cd Tc
1 1
Cartesian
0.000 0.000 0.000
3.882 2.241 1.585
```

Record 2
Compound: BaLiBr
Source: Alexandria via LeMat-Bulk
Functional: PBE-GGA
Structure: relaxed

## Properties
polymorph energy (0 for the lowest one)	200	meV per atom
formation energy from raw total energies	-0.8171	eV/atom
crystal system	orthorhombic

```
BaLiBr
1.0
-4.311 -5.628 0.849
-0.894 -6.687 2.352
-1.455 0.323 3.583
Ba Br Li
1 1 1
Cartesian
-5.177 -12.223 3.204
-2.616 -3.589 3.465
-4.071 -8.494 3.316
```

Record 3
Compound: Tl2SnBr5Cl
Source: Alexandria via LeMat-Bulk
Functional: PBE-GGA
Structure: relaxed

## Properties
formation energy from raw total energies	-0.7969	eV/atom
crystal system	tetragonal

```
Tl2SnBr5Cl
1.0
-6.505 -3.600 1.580
6.220 -1.350 4.155
0.700 7.431 1.437
Tl Sn Br Cl
2 1 5 1
Cartesian
-1.420 3.218 2.707
1.340 -1.172 4.066
0.047 0.041 0.038
-1.444 -0.223 2.212
1.981 2.811 5.059
4.917 0.874 3.533
2.126 5.315 2.158
1.741 1.530 1.407
5.383 4.730 4.350
```

Record 4
Compound: Co2OsRh2
Source: Alexandria via LeMat-Bulk
Functional: PBE-GGA
Structure: relaxed

## Properties
polymorph energy (0 for the lowest one)	0	meV per atom
formation enthalpy at 0 K	328.6	meV/atom
crystal system	tetragonal

```
Co2OsRh2
1.0
6.928 0.000 0.000
0.000 6.928 0.000
0.000 0.000 2.743
Rh Os Co
4 2 4
Cartesian
1.228 4.692 1.372
4.692 5.700 1.372
5.700 2.236 1.372
2.236 1.228 1.372
0.000 0.000 0.000
3.464 3.464 0.000
2.630 6.094 0.000
6.094 4.298 0.000
4.298 0.834 0.000
0.834 2.630 0.000
```

Record 5
Compound: EuScCd2
Source: Alexandria via LeMat-Bulk
Functional: PBE-GGA
Structure: relaxed

## Properties
polymorph energy (0 for the lowest one)	52	meV per atom
formation enthalpy at 0 K	-239.4	meV/atom
crystal system	tetragonal

```
EuScCd2
1.0
3.626 0.000 0.000
0.000 5.344 0.000
0.000 0.000 5.344
Eu Sc Cd
1 1 2
Cartesian
1.813 2.672 2.672
1.813 0.000 0.000
0.000 0.000 2.672
0.000 2.672 0.000
```

Record 6
Compound: BeTcHg2
Source: Alexandria via LeMat-Bulk
Functional: PBE-GGA
Structure: relaxed

## Properties
formation enthalpy at 0 K	724.8	meV/atom
crystal system	tetragonal

```
BeTcHg2
1.0
5.057 -0.013 0.000
1.851 4.706 0.000
-3.454 -2.347 2.853
Be Hg Tc
1 2 1
Cartesian
2.529 -0.006 1.426
0.000 0.000 0.000
0.925 2.353 1.426
3.454 2.347 0.000
```

Record 7
Compound: Th2CdSi4Pt3
Source: Alexandria via LeMat-Bulk
Functional: PBE-GGA
Structure: relaxed

## Properties
formation energy from raw total energies	-0.9251	eV/atom
crystal system	tetragonal

```
Th2CdSi4Pt3
1.0
4.300 0.000 0.000
0.000 4.300 0.000
0.000 0.000 10.124
Th Cd Si Pt
2 1 4 3
Cartesian
2.150 0.000 2.429
0.000 2.150 7.695
2.150 2.150 5.062
2.150 2.150 0.000
0.000 0.000 0.000
2.150 0.000 6.535
0.000 2.150 3.589
0.000 0.000 5.062
2.150 0.000 8.959
0.000 2.150 1.165
```

Record 8
Compound: BaNpTl2I8
Source: Alexandria via LeMat-Bulk
Functional: PBE-GGA
Structure: relaxed

## Properties
formation energy from raw total energies	-0.9623	eV/atom
crystal system	triclinic

```
BaNpTl2I8
1.0
-3.306 -2.580 6.917
-3.634 -5.551 -4.009
7.724 -6.089 1.417
Ba Np Tl I
1 1 2 8
Cartesian
3.862 -3.045 0.708
0.000 0.000 0.000
2.322 -8.633 2.518
-1.539 -5.587 1.807
-1.546 -5.922 -1.825
2.560 -12.283 2.955
-2.033 -4.858 5.348
2.329 -8.299 6.150
-1.778 -1.938 1.369
2.815 -9.363 -1.024
-0.994 -8.845 2.254
1.777 -5.375 2.070
```

Record 9
Compound: SrLa2W
Source: Alexandria via LeMat-Bulk
Functional: PBE-GGA
Structure: relaxed

## Properties
polymorph energy (0 for the lowest one)	299	meV per atom
formation enthalpy at 0 K	757.1	meV/atom
crystal system	orthorhombic

```
SrLa2W
1.0
3.399 -0.007 0.000
-1.245 3.163 0.000
0.000 0.000 11.580
La Sr W
2 1 1
Cartesian
0.000 0.000 10.939
1.077 1.578 2.803
0.000 0.000 6.333
1.077 1.578 8.876
```

Record 10
Compound: NdAg6Cl12
Source: Alexandria via LeMat-Bulk
Functional: PBE-GGA
Structure: relaxed

## Properties
formation energy from raw total energies	-0.7732	eV/atom
crystal system	trigonal

```
NdAg6Cl12
1.0
-5.360 3.083 -5.353
5.534 -0.676 -5.984
-2.697 -7.534 -1.691
Nd Ag Cl
1 6 12
Cartesian
0.000 0.000 0.000
-0.365 -4.468 -3.780
-3.703 -4.876 -7.291
1.025 -4.293 -8.436
-2.158 -0.659 -9.249
1.180 -0.251 -5.738
-3.548 -0.833 -4.593
-2.441 -2.957 -3.825
1.041 -2.573 -4.650
-1.261 0.123 -5.265
-0.082 -2.170 -9.204
-3.564 -2.553 -8.379
-1.262 -5.250 -7.764
2.236 -5.683 -6.775
3.077 -0.908 -7.195
-1.708 -6.536 -4.054
-4.759 0.556 -6.254
-5.601 -4.219 -5.834
-0.815 1.409 -8.975
```

Record 11
Compound: TiBe3Re
Source: Alexandria via LeMat-Bulk
Functional: PBE-GGA
Structure: relaxed

## Properties
polymorph energy (0 for the lowest one)	1137	meV per atom
formation enthalpy at 0 K	1844.5	meV/atom
crystal system	cubic

```
TiBe3Re
1.0
4.025 0.000 0.000
0.000 4.025 0.000
0.000 0.000 4.025
Re Be Ti
1 3 1
Cartesian
2.012 2.012 2.012
0.000 2.012 0.000
0.000 0.000 2.012
2.012 0.000 0.000
0.000 0.000 0.000
```

Record 12
Compound: SmMgCd6
Source: Alexandria via LeMat-Bulk
Functional: PBE-GGA
Structure: relaxed

## Properties
polymorph energy (0 for the lowest one)	0	meV per atom
formation enthalpy at 0 K	-176.7	meV/atom
crystal system	orthorhombic

```
SmMgCd6
1.0
-1.893 4.319 1.184
-3.277 -2.755 4.813
5.786 1.982 2.020
Sm Mg Cd
1 1 6
Cartesian
4.637 1.382 2.374
1.454 2.372 3.655
1.904 0.557 1.013
3.358 0.109 4.973
0.685 -0.684 3.592
-1.624 1.202 3.004
-0.568 0.877 5.878
-3.592 -0.266 5.210
```